1.
Entry from the Alexandria database: a relaxed Li2CaIr2 crystal (PBE).

excess energy over the best structure of this formula in the dataset: 0.0 meV/atom
formation enthalpy at 0 K: 0.0 eV/f.u.

```
data_Li2CaIr2
_chemical_formula_sum 'Li4 Ca2 Ir4'
_space_group_name_H-M_alt 'P 4/m b m'
_space_group_IT_number 127
_space_group_name_Hall '-P 4 2ab'
_cell_length_a 7.591
_cell_length_b 7.591
_cell_length_c 2.697
_cell_angle_alpha 90.00
_cell_angle_beta 90.00
_cell_angle_gamma 90.00
loop_
_atom_site_label
_atom_site_type_symbol
_atom_site_fract_x
_atom_site_fract_y
_atom_site_fract_z
_atom_site_occupancy
Li1 Li 0.162 0.338 0.000 1
Ca1 Ca 0.000 0.000 0.000 1
Ir1 Ir 0.129 0.629 0.500 1
```

2.
Entry from the Alexandria database: a relaxed ZnCo2Rh crystal (PBE).

formation enthalpy at 0 K: -0.2 eV/f.u.

```
data_ZnCo2Rh
_chemical_formula_sum 'Zn1 Co2 Rh1'
_space_group_name_H-M_alt 'P 4 m m'
_space_group_IT_number 99
_cell_length_a 2.881
_cell_length_b 2.881
_cell_length_c 6.040
_cell_angle_alpha 90.00
_cell_angle_beta 90.00
_cell_angle_gamma 90.00
loop_
_space_group_symop_operation_xyz
'x,y,z'
'-y,x,z'
'-x,-y,z'
'y,-x,z'
'-x,y,z'
'y,x,z'
'x,-y,z'
'-y,-x,z'
loop_
_atom_site_label
_atom_site_type_symbol
_atom_site_fract_x
_atom_site_fract_y
_atom_site_fract_z
_atom_site_occupancy
Zn1 Zn 0.000 0.000 0.000 1
Co1 Co 0.000 0.000 0.466 1
Co2 Co 0.500 0.500 0.252 1
Rh1 Rh 0.500 0.500 0.729 1
```